Version a
The following is a DFT calculation (PBEsol) of an optimized crystal structure of La2CdTe.

a b c (Å): 4.581 4.581 10.889
angles (deg): 90.00 90.00 90.00
Space group I-4m2 (No. 119)
One atom of each set of equivalent atoms:
La1 0.000 0.000 0.000 x2
La2 0.000 0.500 0.250 x2
Cd1 0.000 0.500 0.750 x2
Te1 0.000 0.000 0.500 x2

Values from the calculation:
**Calculated density**: 7.53 Mg/m³

=====

Version b
The following is a DFT calculation (PBEsol) of an optimized crystal structure of La2CdTe.

a b c (Å): 7.051 8.417 3.844
angles (deg): 90.00 90.00 90.00
Space group Cmmm (No. 65)
One atom of each set of equivalent atoms:
La1 0.250 0.250 0.000 x4
Cd1 0.000 0.000 0.500 x2
Te1 0.000 0.500 0.500 x2

Values from the calculation:
**Calculated density**: 7.54 Mg/m³

=====

Least stable: version a